Compound: Li2ZnNiF6
Source: Alexandria
Functional: PBE with a Hubbard U
Structure: relaxed

## Properties
SG: P4mm
Crystal system: tetragonal

abc: 3.9813 5.7466 5.7466
angles: 90.00 90.00 90.00
Last column: magnetic moment on the atom in μB.
Fractional positions:
F: 0.2130 0.5000 0.5000  0.04
F: 0.7381 0.2520 0.2520  0.02
F: 0.7381 0.2520 0.7480  0.02
F: 0.7381 0.7480 0.7480  0.02
F: 0.7381 0.7480 0.2520  0.02
F: 0.1986 0.0000 0.0000  0.00
Ni: 0.7079 0.5000 0.5000  1.84
Li: 0.8439 0.0000 0.5000  0.00
Li: 0.8439 0.5000 0.0000  0.00
Zn: 0.6869 0.0000 0.0000  0.01


Compound: LiZnNiF6
Source: Alexandria
Functional: PBE with a Hubbard U
Structure: relaxed

## Properties
SG: P4_2nm
Crystal system: tetragonal

abc: 4.6724 4.6724 9.2330
angles: 90.00 90.00 90.00
Last column: magnetic moment on the atom in μB.
Fractional positions:
F: 0.8077 0.1923 0.1764  0.10
F: 0.3077 0.3077 0.6764  0.10
F: 0.7114 0.7114 0.3334  0.11
F: 0.6923 0.6923 0.9910  0.08
F: 0.2886 0.2886 0.3334  0.11
F: 0.6923 0.6923 0.6764  0.10
F: 0.3077 0.3077 0.9910  0.08
F: 0.1923 0.8077 0.4910  0.08
F: 0.1923 0.8077 0.1764  0.10
F: 0.2114 0.7886 0.8334  0.11
F: 0.7886 0.2114 0.8334  0.11
F: 0.8077 0.1923 0.4910  0.08
Zn: 0.0000 0.0000 0.9988  0.00
Zn: 0.5000 0.5000 0.4988  0.00
Li: 0.5000 0.5000 0.1663  0.00
Li: 0.0000 0.0000 0.6663  0.00
Ni: 0.0000 0.0000 0.3333  2.30
Ni: 0.5000 0.5000 0.8333  2.30


Compound: LiZn2NiF8
Source: Alexandria
Functional: PBE with a Hubbard U
Structure: relaxed

## Properties
SG: I-4m2
Crystal system: tetragonal

abc: 5.8185 5.8185 5.8185
angles: 111.50 111.50 105.48
Last column: magnetic moment on the atom in μB.
Fractional positions:
F: 0.4857 0.6925 0.7932  -0.03
F: 0.9426 0.2422 0.2996  0.13
F: 0.3570 0.0574 0.2996  0.13
F: 0.7578 0.0574 0.7004  0.13
F: 0.3075 0.5143 0.2068  -0.03
F: 0.9426 0.6430 0.7004  0.13
F: 0.3075 0.1008 0.7932  -0.03
F: 0.8992 0.6925 0.2068  -0.03
Zn: 0.7500 0.2500 0.5000  0.13
Zn: 0.5000 0.5000 0.0000  -0.03
Ni: 0.2500 0.7500 0.5000  1.75
Li: 0.0000 0.0000 0.0000  0.00


Number 1: density of states at the Fermi level 0.00 states/eV/f.u., calculated total energy -4.287 eV/atom, total magnetization 2.00 μB/cell. Number 2: density of states at the Fermi level 0.00 states/eV/f.u., calculated total energy -4.090 eV/atom, total magnetization 5.89 μB/cell. Number 3: density of states at the Fermi level 8.96 states/eV/f.u., calculated total energy -3.859 eV/atom, total magnetization 2.32 μB/cell.